(1)
This record from Alexandria describes an optimized crystal structure of AlIn2. The functional is PBEsol.

abc: 4.9378 4.9378 3.2617
angles: 90.00 90.00 120.00
Space group P-3m1 (No. 164)
One atom of each set of equivalent atoms:
Al1 0.0000 0.0000 0.0000 (multiplicity 1)
In1 0.3333 0.6667 0.7090 (multiplicity 2)

Magnetization, μB per cell: 0.0
Energy, eV/atom: -3.195
Crystal system: trigonal



(2)
This record from Alexandria describes an optimized crystal structure of Al5In. The functional is PBEsol.

abc: 4.103 12.639 4.104
angles: 90.00 90.00 90.00
Space group Cmmm (No. 65)
One atom of each set of equivalent atoms:
Al1 0.000 0.000 0.000 (multiplicity 2)
Al2 0.000 0.173 0.500 (multiplicity 4)
Al3 0.000 0.327 0.000 (multiplicity 4)
In1 0.000 0.500 0.500 (multiplicity 2)

Magnetization, μB per cell: 0.0
Energy, eV/atom: -3.814
Crystal system: orthorhombic



(3)
This record from Alexandria describes an optimized crystal structure of Al5In. The functional is PBEsol.

abc: 4.678 2.929 15.818
angles: 90.00 90.00 90.00
Space group Amm2 (No. 38)
One atom of each set of equivalent atoms:
Al1 0.000 0.000 0.000 (multiplicity 2)
Al2 0.000 0.000 0.312 (multiplicity 2)
Al3 0.000 0.000 0.654 (multiplicity 2)
Al4 0.500 0.000 0.106 (multiplicity 2)
Al5 0.500 0.000 0.759 (multiplicity 2)
In1 0.500 0.000 0.429 (multiplicity 2)

Magnetization, μB per cell: 0.0
Energy, eV/atom: -3.785
Crystal system: orthorhombic



(4)
This record from Alexandria describes an optimized crystal structure of Al3In. The functional is PBEsol.

abc: 2.976 9.920 5.093
angles: 90.00 90.00 90.00
Space group Imm2 (No. 44)
One atom of each set of equivalent atoms:
Al1 0.000 0.000 0.000 (multiplicity 2)
Al2 0.000 0.263 0.645 (multiplicity 4)
In1 0.000 0.500 0.011 (multiplicity 2)

Magnetization, μB per cell: 0.0
Energy, eV/atom: -3.660
Crystal system: orthorhombic



(5)
This record from Alexandria describes an optimized crystal structure of Al5In. The functional is PBEsol.

abc: 2.961 2.961 12.164
angles: 90.00 90.00 90.00
Space group P4/mmm (No. 123)
One atom of each set of equivalent atoms:
Al1 0.000 0.000 0.000 (multiplicity 1)
Al2 0.000 0.000 0.311 (multiplicity 2)
Al3 0.500 0.500 0.156 (multiplicity 2)
In1 0.500 0.500 0.500 (multiplicity 1)

Magnetization, μB per cell: 0.0
Energy, eV/atom: -3.835
Crystal system: tetragonal



(6)
This record from Alexandria describes an optimized crystal structure of Al5In. The functional is PBEsol.

abc: 9.556 2.962 8.194
angles: 90.00 112.96 90.00
Space group C2/m (No. 12)
One atom of each set of equivalent atoms:
Al1 0.000 0.000 0.000 (multiplicity 2)
Al2 0.166 0.500 0.315 (multiplicity 4)
Al3 0.169 0.500 0.848 (multiplicity 4)
In1 0.000 0.000 0.500 (multiplicity 2)

Magnetization, μB per cell: 0.0
Energy, eV/atom: -3.818
Crystal system: monoclinic



(7)
This record from Alexandria describes an optimized crystal structure of AlIn2Ir. The functional is PBEsol.

abc: 3.1259 3.1259 26.7561
angles: 90.00 90.00 120.00
Space group R3m (No. 160, hexagonal axes)
One atom of each set of equivalent atoms:
Al1 0.0000 0.0000 0.0000 (multiplicity 3)
In1 0.0000 0.0000 0.5231 (multiplicity 3)
In2 0.0000 0.0000 0.7568 (multiplicity 3)
Ir1 0.0000 0.0000 0.2693 (multiplicity 3)

Magnetization, μB per cell: 0.0
Energy, eV/atom: -5.024
Crystal system: trigonal



(8)
This record from Alexandria describes an optimized crystal structure of AlIn2Ir. The functional is PBEsol.

abc: 3.019 3.019 8.239
angles: 90.00 90.00 90.00
Space group P4/mmm (No. 123)
One atom of each set of equivalent atoms:
Al1 0.000 0.000 0.000 (multiplicity 1)
In1 0.500 0.500 0.281 (multiplicity 2)
Ir1 0.000 0.000 0.500 (multiplicity 1)

Magnetization, μB per cell: 0.0
Energy, eV/atom: -4.900
Crystal system: tetragonal



Number 1: ΔH_f (0 K) 0.472 eV per formula unit. Number 2: ΔH_f (0 K) 0.558 eV per formula unit. Number 3: ΔH_f (0 K) 0.730 eV per formula unit. Number 4: ΔH_f (0 K) 0.616 eV per formula unit. Number 5: ΔH_f (0 K) 0.433 eV per formula unit. Number 6: ΔH_f (0 K) 0.530 eV per formula unit. Number 7: ΔH_f (0 K) -0.217 eV per formula unit. Number 8: ΔH_f (0 K) 0.282 eV per formula unit.